[1]
BaCaIr2 at its PBEsol-relaxed geometry, computed with SCAN.

Unit cell a=4.307 b=4.307 c=8.398 alpha=75.14 beta=75.14 gamma=60.00
Positions (direct):
Ba 0.460 0.460 0.619
Ca 0.299 0.299 0.104
Ir 0.037 0.037 0.889
Ir 0.704 0.704 0.889

volume = 128.9 Å³ per cell
energy relative to the elements = -0.3830 eV per atom
crystal system = trigonal

[2]
Hg3AsO4 at its PBEsol-relaxed geometry, computed with SCAN.

Unit cell a=5.159 b=8.893 c=12.144 alpha=95.74 beta=90.00 gamma=90.00
Positions (direct):
O 0.028 0.605 0.652
O 0.516 0.138 0.717
O 0.533 0.465 0.229
O 0.959 0.336 0.113
O 0.041 0.664 0.887
O 0.528 0.895 0.848
O 0.541 0.836 0.613
O 0.467 0.535 0.771
O 0.016 0.362 0.783
O 0.484 0.862 0.283
O 0.967 0.965 0.729
O 0.972 0.395 0.348
O 0.984 0.638 0.217
O 0.472 0.105 0.152
O 0.459 0.164 0.387
O 0.033 0.035 0.271
Hg 0.840 0.825 0.376
Hg 0.655 0.686 0.962
Hg 0.845 0.186 0.462
Hg 0.350 0.455 0.419
Hg 0.155 0.814 0.538
Hg 0.150 0.955 0.919
Hg 0.650 0.545 0.581
Hg 0.345 0.314 0.038
Hg 0.850 0.045 0.081
Hg 0.660 0.325 0.876
Hg 0.160 0.175 0.624
Hg 0.340 0.675 0.124
As 0.865 0.457 0.226
As 0.135 0.543 0.774
As 0.365 0.043 0.274
As 0.635 0.957 0.726

volume = 554.4 Å³ per cell
crystal system = monoclinic
energy relative to the elements, uncorrected = -0.788 eV per atom

[3]
FeTcNi2 at its PBEsol-relaxed geometry, computed with SCAN.

Unit cell a=2.498 b=4.083 c=4.460 alpha=90.00 beta=90.00 gamma=90.00
Positions (direct):
Ni 0.000 0.500 0.723
Ni 0.000 0.000 0.032
Fe 0.500 0.500 0.212
Tc 0.500 0.000 0.533

volume = 45.5 Å³ per cell
energy relative to the elements = -0.0092 eV per atom
crystal system = orthorhombic

[4]
TiOsC2 at its PBEsol-relaxed geometry, computed with SCAN.

Unit cell a=4.549 b=4.549 c=5.763 alpha=113.25 beta=113.25 gamma=90.00
Positions (direct):
Os 0.250 0.750 0.500
Os 0.000 0.000 0.000
C 0.125 0.102 0.750
C 0.898 0.375 0.250
C 0.352 0.875 0.250
C 0.625 0.648 0.750
Ti 0.750 0.250 0.500
Ti 0.500 0.500 0.000

volume = 99.0 Å³ per cell
energy relative to the elements = 0.2263 eV per atom
crystal system = tetragonal

[5]
Zr2MnCl at its PBEsol-relaxed geometry, computed with SCAN.

Unit cell a=3.084 b=4.704 c=4.704 alpha=99.70 beta=90.00 gamma=90.00
Positions (direct):
Zr 0.000 0.000 0.500
Zr 0.000 0.500 0.000
Mn 0.500 0.500 0.500
Cl 0.500 0.000 0.000

volume = 67.3 Å³ per cell
crystal system = orthorhombic
energy relative to the elements, uncorrected = -0.162 eV per atom

[6]
Ag5Sb at its PBEsol-relaxed geometry, computed with SCAN.

Unit cell a=3.062 b=3.062 c=11.681 alpha=90.00 beta=90.00 gamma=90.00
Positions (direct):
Ag 0.500 0.500 0.347
Ag 0.000 0.000 0.500
Ag 0.000 0.000 0.810
Ag 0.000 0.000 0.190
Ag 0.500 0.500 0.653
Sb 0.500 0.500 0.000

volume = 109.5 Å³ per cell
crystal system = tetragonal
energy relative to the elements, uncorrected = 0.075 eV per atom

[7]
ZrSc2Cr at its PBEsol-relaxed geometry, computed with SCAN.

Unit cell a=3.103 b=4.523 c=5.828 alpha=90.00 beta=103.37 gamma=90.00
Positions (direct):
Sc 0.906 0.000 0.734
Sc 0.094 0.000 0.266
Zr 0.500 0.500 0.000
Cr 0.500 0.500 0.500

volume = 79.6 Å³ per cell
energy relative to the elements = 0.1530 eV per atom
crystal system = monoclinic

[8]
Nd2Ni5B4 at its PBEsol-relaxed geometry, computed with SCAN.

Unit cell a=5.034 b=5.471 c=6.055 alpha=70.87 beta=65.44 gamma=62.61
Positions (direct):
B 0.600 0.943 0.858
B 0.221 0.399 0.158
B 0.779 0.601 0.842
B 0.400 0.057 0.142
Nd 0.725 0.199 0.352
Nd 0.275 0.801 0.648
Ni 0.177 0.277 0.873
Ni 0.823 0.723 0.127
Ni 0.327 0.723 0.127
Ni 0.000 0.500 0.500
Ni 0.673 0.277 0.873

volume = 132.7 Å³ per cell
energy relative to the elements = -0.4985 eV per atom
crystal system = monoclinic

[9]
LaCuNi2 at its PBEsol-relaxed geometry, computed with SCAN.

Unit cell a=4.077 b=4.076 c=5.272 alpha=112.82 beta=90.00 gamma=120.01
Positions (direct):
La 0.251 0.503 0.753
Ni 0.057 0.113 0.171
Ni 0.745 0.489 0.234
Cu 0.447 0.895 0.342

volume = 67.8 Å³ per cell
energy relative to the elements = -0.2060 eV per atom
crystal system = monoclinic

[10]
RbHg2Sb2 at its PBEsol-relaxed geometry, computed with SCAN.

Unit cell a=4.886 b=4.886 c=7.131 alpha=110.04 beta=110.04 gamma=90.00
Positions (direct):
Hg 0.610 0.610 0.219
Hg 0.390 0.390 0.781
Sb 0.250 0.750 0.500
Sb 0.750 0.250 0.500
Rb 0.000 0.000 0.000

volume = 148.9 Å³ per cell
crystal system = tetragonal
energy relative to the elements, uncorrected = -0.227 eV per atom

[11]
TmSnAu at its PBEsol-relaxed geometry, computed with SCAN.

Unit cell a=4.601 b=4.601 c=7.247 alpha=90.00 beta=90.00 gamma=120.00
Positions (direct):
Tm 0.000 0.000 0.029
Tm 0.000 0.000 0.529
Sn 0.333 0.667 0.302
Sn 0.667 0.333 0.802
Au 0.333 0.667 0.698
Au 0.667 0.333 0.198

volume = 132.9 Å³ per cell
energy relative to the elements = -1.0039 eV per atom
crystal system = hexagonal

[12]
Ba2InBiSe5 at its PBEsol-relaxed geometry, computed with SCAN.

Unit cell a=4.309 b=9.763 c=13.096 alpha=90.00 beta=90.00 gamma=102.75
Positions (direct):
Se 0.216 0.432 0.662
Se 0.812 0.623 0.466
Se 0.547 0.095 0.773
Se 0.004 0.008 0.560
Se 0.996 0.992 0.060
Se 0.141 0.281 0.330
Se 0.784 0.568 0.162
Se 0.453 0.905 0.273
Se 0.188 0.377 0.966
Se 0.859 0.719 0.830
Ba 0.372 0.743 0.019
Ba 0.628 0.257 0.519
Ba 0.613 0.227 0.146
Ba 0.387 0.773 0.646
In 0.941 0.883 0.388
In 0.059 0.117 0.888
Bi 0.284 0.568 0.309
Bi 0.716 0.432 0.809

volume = 537.3 Å³ per cell
crystal system = orthorhombic
energy relative to the elements, uncorrected = -1.356 eV per atom

[13]
Li2TlAg2 at its PBEsol-relaxed geometry, computed with SCAN.

Unit cell a=3.002 b=7.647 c=7.647 alpha=90.00 beta=90.00 gamma=90.00
Positions (direct):
Li 0.500 0.336 0.164
Li 0.500 0.836 0.336
Li 0.500 0.164 0.664
Li 0.500 0.664 0.836
Ag 0.000 0.629 0.129
Ag 0.000 0.371 0.871
Ag 0.000 0.129 0.371
Ag 0.000 0.871 0.629
Tl 0.000 0.000 0.000
Tl 0.000 0.500 0.500

volume = 175.5 Å³ per cell
energy relative to the elements = -0.1534 eV per atom
crystal system = tetragonal

[14]
CsTl2AgRh at its PBEsol-relaxed geometry, computed with SCAN.

Unit cell a=5.202 b=5.202 c=5.404 alpha=90.00 beta=90.00 gamma=90.00
Positions (direct):
Rh 0.000 0.000 0.000
Tl 0.000 0.500 0.000
Tl 0.500 0.000 0.000
Cs 0.500 0.500 0.500
Ag 0.000 0.000 0.500

volume = 146.2 Å³ per cell
energy relative to the elements = -0.0248 eV per atom
crystal system = tetragonal

[15]
ZrZn2Ru at its PBEsol-relaxed geometry, computed with SCAN.

Unit cell a=3.025 b=3.965 c=5.290 alpha=90.00 beta=102.17 gamma=90.00
Positions (direct):
Zr 0.498 0.000 0.491
Ru 0.246 0.500 0.777
Zn 0.852 0.000 0.990
Zn 0.905 0.500 0.242

volume = 62.0 Å³ per cell
energy relative to the elements = -0.2410 eV per atom
crystal system = monoclinic

[16]
LiInF4 at its PBEsol-relaxed geometry, computed with SCAN.

Unit cell a=4.753 b=4.994 c=11.744 alpha=90.00 beta=90.00 gamma=90.00
Positions (direct):
F 0.773 0.584 0.809
F 0.227 0.916 0.809
F 0.227 0.416 0.191
F 0.264 0.431 0.444
F 0.727 0.084 0.691
F 0.736 0.069 0.444
F 0.736 0.569 0.556
F 0.764 0.569 0.056
F 0.273 0.416 0.691
F 0.273 0.916 0.309
F 0.236 0.931 0.056
F 0.727 0.584 0.309
F 0.264 0.931 0.556
F 0.764 0.069 0.944
F 0.773 0.084 0.191
F 0.236 0.431 0.944
In 0.500 0.750 0.168
In 0.500 0.250 0.832
In 0.000 0.750 0.668
In 0.000 0.250 0.332
Li 0.000 0.750 0.944
Li 0.500 0.750 0.444
Li 0.500 0.250 0.556
Li 0.000 0.250 0.056

volume = 278.8 Å³ per cell
crystal system = orthorhombic
energy relative to the elements, uncorrected = -2.871 eV per atom

[17]
HfCIO2 at its PBEsol-relaxed geometry, computed with SCAN.

Unit cell a=3.980 b=3.980 c=4.165 alpha=90.00 beta=90.00 gamma=90.00
Positions (direct):
C 0.000 0.000 0.000
Hf 0.500 0.500 0.500
O 0.000 0.500 0.000
O 0.500 0.000 0.000
I 0.000 0.000 0.500

volume = 66.0 Å³ per cell
crystal system = tetragonal
energy relative to the elements, uncorrected = 0.854 eV per atom

[18]
BaRe3Te at its PBEsol-relaxed geometry, computed with SCAN.

Unit cell a=4.961 b=4.961 c=4.961 alpha=90.00 beta=90.00 gamma=90.00
Positions (direct):
Re 0.000 0.000 0.500
Re 0.000 0.500 0.000
Re 0.500 0.000 0.000
Te 0.500 0.500 0.500
Ba 0.000 0.000 0.000

volume = 122.1 Å³ per cell
crystal system = cubic
energy relative to the elements, uncorrected = 4.066 eV per atom

[19]
YTcSb2Te at its PBEsol-relaxed geometry, computed with SCAN.

Unit cell a=4.949 b=4.949 c=5.717 alpha=90.00 beta=90.00 gamma=90.00
Positions (direct):
Tc 0.000 0.000 0.000
Sb 0.000 0.500 0.000
Sb 0.500 0.000 0.000
Y 0.500 0.500 0.500
Te 0.000 0.000 0.500

volume = 140.0 Å³ per cell
crystal system = tetragonal
energy relative to the elements, uncorrected = 0.096 eV per atom

[20]
Sr2HBrF at its PBEsol-relaxed geometry, computed with SCAN.

Unit cell a=5.202 b=5.667 c=5.667 alpha=90.00 beta=90.00 gamma=90.00
Positions (direct):
Br 0.000 0.000 0.000
Sr 0.000 0.000 0.500
Sr 0.000 0.500 0.000
F 0.500 0.000 0.000
H 0.500 0.500 0.500

volume = 167.1 Å³ per cell
crystal system = tetragonal
total energy = -14.99 eV/atom

[21]
AlMoW2 at its PBEsol-relaxed geometry, computed with SCAN.

Unit cell a=3.272 b=3.272 c=5.719 alpha=90.00 beta=90.00 gamma=90.00
Positions (direct):
W 0.000 0.000 0.753
W 0.000 0.000 0.247
Mo 0.500 0.500 0.500
Al 0.500 0.500 0.000

volume = 61.2 Å³ per cell
energy relative to the elements = 0.1053 eV per atom
crystal system = tetragonal

[22]
LaMg2Ir at its PBEsol-relaxed geometry, computed with SCAN.

Unit cell a=4.532 b=4.731 c=5.541 alpha=66.86 beta=65.86 gamma=61.38
Positions (direct):
Mg 0.962 0.960 0.117
Mg 0.222 0.231 0.325
La 0.767 0.725 0.740
Ir 0.550 0.584 0.317

volume = 92.3 Å³ per cell
energy relative to the elements = -0.4281 eV per atom
crystal system = monoclinic

[23]
LaF3 at its PBEsol-relaxed geometry, computed with SCAN.

Unit cell a=7.117 b=7.117 c=7.279 alpha=90.00 beta=90.00 gamma=120.00
Positions (direct):
La 0.342 0.342 0.250
La 0.000 0.342 0.750
La 0.342 0.000 0.750
La 0.658 0.658 0.750
La 0.000 0.658 0.250
La 0.658 0.000 0.250
F 0.632 0.688 0.081
F 0.333 0.667 0.818
F 0.688 0.056 0.919
F 0.688 0.632 0.419
F 0.667 0.333 0.682
F 0.368 0.312 0.919
F 0.312 0.944 0.081
F 0.368 0.056 0.419
F 0.632 0.944 0.581
F 0.944 0.632 0.919
F 0.000 0.000 0.750
F 0.056 0.688 0.581
F 0.312 0.368 0.581
F 0.944 0.312 0.419
F 0.000 0.000 0.250
F 0.333 0.667 0.318
F 0.056 0.368 0.081
F 0.667 0.333 0.182

volume = 319.3 Å³ per cell
crystal system = trigonal
energy relative to the elements, uncorrected = -4.492 eV per atom

[24]
TaSb2Os at its PBEsol-relaxed geometry, computed with SCAN.

Unit cell a=3.309 b=3.309 c=6.594 alpha=90.00 beta=90.00 gamma=90.00
Positions (direct):
Sb 0.000 0.000 0.251
Sb 0.000 0.000 0.749
Os 0.500 0.500 0.500
Ta 0.500 0.500 0.000

volume = 72.2 Å³ per cell
crystal system = tetragonal
energy relative to the elements, uncorrected = 0.483 eV per atom